(1)
VHgAu3: relaxed, GGA-PBE.

Calculated values
formation energy from the elements	1052	meV per atom
VASP energy	-0.1028	Ha/atom
theoretical density	10.19	g cm⁻³
energy above the most stable polymorph in this dataset	287.3	meV/atom

a b c (Å): 5.159 5.159 5.159
angles (deg): 90.00 90.00 90.00
Atoms (fractional coordinates):
V: 0.000 0.000 0.000
Hg: 0.500 0.500 0.500
Au: 0.000 0.500 0.500
Au: 0.500 0.000 0.500
Au: 0.500 0.500 0.000

(2)
V2HgAu: relaxed, GGA-PBE.

Calculated values
formation energy from the elements	692	meV per atom
VASP energy	-0.1750	Ha/atom
theoretical density	11.46	g cm⁻³

a b c (Å): 5.824 5.824 5.824
angles (deg): 102.81 102.81 123.82
Atoms (fractional coordinates):
V: 0.110 0.625 0.985
V: 0.375 0.360 0.485
V: 0.640 0.125 0.015
V: 0.875 0.890 0.515
Hg: 0.250 0.750 0.500
Hg: 0.500 0.500 0.000
Au: 0.000 0.000 0.000
Au: 0.750 0.250 0.500

(3)
VHg2Au: relaxed, GGA-PBE.

Calculated values
formation energy from the elements	292	meV per atom
VASP energy	-0.1087	Ha/atom
theoretical density	13.90	g cm⁻³
energy above the most stable polymorph in this dataset	0.0	meV/atom

a b c (Å): 4.786 4.786 4.786
angles (deg): 60.00 60.00 60.00
Atoms (fractional coordinates):
V: 0.000 0.000 0.000
Hg: 0.250 0.250 0.250
Hg: 0.750 0.750 0.750
Au: 0.500 0.500 0.500

(4)
V3HgAu: relaxed, GGA-PBE.

Calculated values
formation energy from the elements	1322	meV per atom
VASP energy	-0.1788	Ha/atom
theoretical density	7.46	g cm⁻³
energy above the most stable polymorph in this dataset	0.0	meV/atom

a b c (Å): 4.966 4.966 4.966
angles (deg): 90.00 90.00 90.00
Atoms (fractional coordinates):
V: 0.000 0.000 0.500
V: 0.000 0.500 0.000
V: 0.500 0.000 0.000
Hg: 0.500 0.500 0.500
Au: 0.000 0.000 0.000

(5)
HgW3Au: relaxed, GGA-PBE.

Calculated values
formation energy from the elements	3070	meV per atom
VASP energy	-0.1991	Ha/atom
theoretical density	13.51	g cm⁻³
energy above the most stable polymorph in this dataset	438.5	meV/atom

a b c (Å): 4.886 4.886 4.886
angles (deg): 90.00 90.00 90.00
Atoms (fractional coordinates):
Hg: 0.000 0.000 0.000
W: 0.000 0.000 0.500
W: 0.000 0.500 0.000
W: 0.500 0.000 0.000
Au: 0.500 0.500 0.500

(6)
Hg3WAu: relaxed, GGA-PBE.

Calculated values
formation energy from the elements	1401	meV per atom
VASP energy	-0.0745	Ha/atom
theoretical density	10.87	g cm⁻³
energy above the most stable polymorph in this dataset	146.0	meV/atom

a b c (Å): 5.315 5.315 5.315
angles (deg): 90.00 90.00 90.00
Atoms (fractional coordinates):
Hg: 0.000 0.000 0.500
Hg: 0.000 0.500 0.000
Hg: 0.500 0.000 0.000
W: 0.500 0.500 0.500
Au: 0.000 0.000 0.000

(7)
Hg3WAu: relaxed, GGA-PBE.

Calculated values
formation energy from the elements	1255	meV per atom
VASP energy	-0.0798	Ha/atom
theoretical density	10.54	g cm⁻³
energy above the most stable polymorph in this dataset	0.0	meV/atom

a b c (Å): 5.370 5.370 5.370
angles (deg): 90.00 90.00 90.00
Atoms (fractional coordinates):
Hg: 0.000 0.000 0.500
Hg: 0.000 0.500 0.000
Hg: 0.500 0.000 0.000
W: 0.000 0.000 0.000
Au: 0.500 0.500 0.500

(8)
HgW4Au: relaxed, GGA-PBE.

Calculated values
formation energy from the elements	797	meV per atom
VASP energy	-0.3100	Ha/atom
theoretical density	17.34	g cm⁻³

a b c (Å): 5.353 5.353 5.353
angles (deg): 60.00 60.00 60.00
Atoms (fractional coordinates):
Hg: 0.000 0.000 0.000
W: 0.125 0.625 0.625
W: 0.625 0.125 0.625
W: 0.625 0.625 0.125
W: 0.625 0.625 0.625
Au: 0.250 0.250 0.250